Below is a relaxed structure of Ac2ErMoO6, with properties calculated at the GGA+U level.

Cell lengths 5.9322, 6.0830, 8.4602 Å; angles 90.00, 90.24, 90.00 degrees
Each line ends with the local moment (μB).
Element x y z (fractional)
O  0.3986  0.9616  0.7464  0.02
O  0.6986  0.2936  0.5533  0.02
O  0.1014  0.4617  0.7535  0.02
O  0.3014  0.7064  0.4467  0.02
O  0.6014  0.0384  0.2536  0.02
O  0.2066  0.2018  0.4452  0.02
O  0.8986  0.5383  0.2465  0.02
O  0.1984  0.2062  0.0531  0.02
O  0.8016  0.7938  0.9469  0.02
O  0.7934  0.7982  0.5548  0.02
O  0.2936  0.7016  0.0546  0.02
O  0.7064  0.2984  0.9454  0.02
Er  0.5000  0.0000  0.0000  0.02
Er  0.0000  0.5000  0.5000  0.02
Mo  0.0000  0.5000  0.0000  2.67
Mo  0.5000  0.0000  0.5000  2.67
Ac  0.4879  0.4529  0.2505  0.01
Ac  0.9879  0.0471  0.7505  0.01
Ac  0.5121  0.5471  0.7495  0.01
Ac  0.0121  0.9529  0.2495  0.01

## Properties
Density = 8846 kg/m3
Crystal system = monoclinic
VASP energy = -8.00 eV/atom